Entry 1:
Here is crystalline CaTb5Pr12 at its relaxed geometry from Alexandria via LeMat-Bulk. Energies are from GGA-PBE.

Values from the calculation:
E_tot ... -4.5616 eV/atom
Space group ... C2/m, No. 12
ΔE_f ... 0.022 eV/atom
Mass density ... 6.61 g/cm³
Total moment ... 0.00 Bohr magnetons per cell

abc: 11.0389 11.0389 6.3742
angles: 106.61 106.61 59.90
Closest atoms and distances in Å follow each position.
Positions (direct):
Ca 0.0000 0.0000 0.0000  10 Pr 3.70-3.74, 2 Tb 3.76
Tb 0.1692 0.1692 0.5110  10 Pr 3.63-3.74, 1 Tb 3.64, 1 Ca 3.76
Tb 0.3336 0.3336 0.0038  2 Tb 3.64-3.67, 10 Pr 3.64-3.68
Tb 0.5000 0.5000 0.5000  10 Pr 3.63-3.67, 2 Tb 3.67
Tb 0.6664 0.6664 0.9962  2 Tb 3.64-3.67, 10 Pr 3.64-3.68
Tb 0.8308 0.8308 0.4890  10 Pr 3.63-3.74, 1 Tb 3.64, 1 Ca 3.76
Pr 0.0012 0.3374 0.0014  7 Pr 3.58-3.75, 4 Tb 3.63-3.74, 1 Ca 3.73
Pr 0.1677 0.4997 0.5022  5 Tb 3.66-3.68, 7 Pr 3.66-3.69
Pr 0.1703 0.8297 0.5000  3 Tb 3.63-3.72, 7 Pr 3.66-3.76, 2 Ca 3.70
Pr 0.3374 0.0012 0.0014  7 Pr 3.58-3.75, 4 Tb 3.63-3.74, 1 Ca 3.73
Pr 0.3393 0.6607 0.0000  7 Pr 3.54-3.75, 4 Tb 3.65, 1 Ca 3.74
Pr 0.4997 0.1677 0.5022  5 Tb 3.66-3.68, 7 Pr 3.66-3.69
Pr 0.5003 0.8323 0.4978  5 Tb 3.66-3.68, 7 Pr 3.66-3.69
Pr 0.6607 0.3393 0.0000  7 Pr 3.54-3.75, 4 Tb 3.65, 1 Ca 3.74
Pr 0.6626 0.9988 0.9986  7 Pr 3.58-3.75, 4 Tb 3.63-3.74, 1 Ca 3.73
Pr 0.8297 0.1703 0.5000  3 Tb 3.63-3.72, 7 Pr 3.66-3.76, 2 Ca 3.70
Pr 0.8323 0.5003 0.4978  5 Tb 3.66-3.68, 7 Pr 3.66-3.69
Pr 0.9988 0.6626 0.9986  7 Pr 3.58-3.75, 4 Tb 3.63-3.74, 1 Ca 3.73

Entry 2:
Here is crystalline YZrAgRh at its relaxed geometry from Alexandria via LeMat-Bulk. Energies are from GGA-PBE.

Values from the calculation:
E_tot ... -6.7126 eV/atom
Space group ... F-43m, No. 216
ΔE_f ... -0.409 eV/atom
Mass density ... 7.90 g/cm³
Total moment ... 0.00 Bohr magnetons per cell

abc: 6.9010 6.9010 6.9010
angles: 90.00 90.00 90.00
Closest atoms and distances in Å follow each position.
Positions (direct):
Y 0.0000 0.0000 0.0000  4 Ag 2.99, 4 Rh 2.99
Y 0.0000 0.5000 0.5000  4 Ag 2.99, 4 Rh 2.99
Y 0.5000 0.0000 0.5000  4 Ag 2.99, 4 Rh 2.99
Y 0.5000 0.5000 0.0000  4 Ag 2.99, 4 Rh 2.99
Zr 0.0000 0.0000 0.5000  4 Rh 2.99, 4 Ag 2.99
Zr 0.0000 0.5000 0.0000  4 Rh 2.99, 4 Ag 2.99
Zr 0.5000 0.0000 0.0000  4 Rh 2.99, 4 Ag 2.99
Zr 0.5000 0.5000 0.5000  4 Rh 2.99, 4 Ag 2.99
Ag 0.2500 0.2500 0.2500  4 Zr 2.99, 4 Y 2.99
Ag 0.2500 0.7500 0.7500  4 Zr 2.99, 4 Y 2.99
Ag 0.7500 0.2500 0.7500  4 Zr 2.99, 4 Y 2.99
Ag 0.7500 0.7500 0.2500  4 Zr 2.99, 4 Y 2.99
Rh 0.2500 0.2500 0.7500  4 Zr 2.99, 4 Y 2.99
Rh 0.2500 0.7500 0.2500  4 Zr 2.99, 4 Y 2.99
Rh 0.7500 0.2500 0.2500  4 Zr 2.99, 4 Y 2.99
Rh 0.7500 0.7500 0.7500  4 Zr 2.99, 4 Y 2.99

> What is the formula in the first record?

CaTb5Pr12

> total moment of number 1 (CaTb5Pr12)?

0.00 Bohr magnetons per cell

> The lowest mass density belongs to which entry?

CaTb5Pr12